Entry 1:
## TeAu15 (PBE-GGA)

Data for a relaxed structure of TeAu15.

a b c (Å): 4.1527 8.1693 42.6636
angles (deg): 90.00 90.01 90.39
Fractional coordinates of all 64 atoms:
Au: 0.9987 0.8892 0.1277
Au: 0.5018 0.1109 0.1277
Au: 0.0000 0.6189 0.1803
Au: 0.4993 0.3811 0.1803
Au: 0.5000 0.8703 0.1820
Au: 0.9995 0.1297 0.1820
Au: 0.9998 0.8756 0.2305
Au: 0.4997 0.1244 0.2305
Au: 0.9994 0.3768 0.2308
Au: 0.5000 0.6232 0.2308
Au: 0.4998 0.3732 0.2800
Au: 0.9998 0.6268 0.2800
Au: 0.9998 0.1252 0.2801
Au: 0.4998 0.8748 0.2801
Au: 0.9998 0.3758 0.3290
Au: 0.4999 0.6242 0.3290
Au: 0.4999 0.1245 0.3292
Au: 0.9998 0.8755 0.3292
Au: 0.0000 0.6252 0.3781
Au: 0.4999 0.3748 0.3781
Au: 0.5000 0.8744 0.3781
Au: 0.9999 0.1256 0.3781
Au: 0.0000 0.8752 0.4269
Au: 0.5000 0.1248 0.4269
Au: 0.5000 0.6247 0.4269
Au: 0.0000 0.3753 0.4269
Au: 0.5000 0.8750 0.4756
Au: 0.0000 0.1250 0.4756
Au: 0.5000 0.3749 0.4757
Au: 0.0000 0.6251 0.4757
Au: 0.0000 0.3749 0.5244
Au: 0.5000 0.6251 0.5244
Au: 0.5000 0.1250 0.5244
Au: 0.0000 0.8750 0.5244
Au: 0.5000 0.3753 0.5731
Au: 0.0000 0.6247 0.5731
Au: 0.0000 0.1248 0.5731
Au: 0.5000 0.8752 0.5731
Au: 0.0001 0.8744 0.6219
Au: 0.5000 0.1256 0.6219
Au: 0.5001 0.6252 0.6220
Au: 0.0000 0.3748 0.6220
Au: 0.5001 0.8755 0.6708
Au: 0.0002 0.1245 0.6708
Au: 0.0002 0.6242 0.6710
Au: 0.5001 0.3758 0.6710
Au: 0.5002 0.1252 0.7199
Au: 0.0002 0.8748 0.7199
Au: 0.0002 0.3732 0.7200
Au: 0.5003 0.6268 0.7200
Au: 0.5000 0.3767 0.7692
Au: 0.0006 0.6233 0.7692
Au: 0.5003 0.8756 0.7695
Au: 0.0002 0.1244 0.7695
Au: 0.0005 0.8704 0.8180
Au: 0.5000 0.1296 0.8180
Au: 0.5007 0.6190 0.8197
Au: 0.0000 0.3810 0.8197
Au: 0.4982 0.8892 0.8724
Au: 0.0013 0.1107 0.8724
Te: 0.4978 0.6816 0.1223
Te: 0.0028 0.3185 0.1224
Te: 0.9972 0.6814 0.8775
Te: 0.5022 0.3184 0.8775

The calculation puts the total DFT energy (no corrections) at -206.811 eV/cell. The polymorph energy (0 for the lowest one) comes out at 0.000 eV per atom. Its volume is 22.61 A^3/atom.

=====

Entry 2:
## Te3Au2 (PBE-GGA)

Data for a relaxed structure of Te3Au2.

a b c (Å): 12.1863 13.5758 10.7428
angles (deg): 104.27 97.16 108.85
Fractional coordinates of all 60 atoms:
Au: 0.8810 0.1675 0.0345
Au: 0.3260 0.2472 0.0461
Au: 0.6573 0.4929 0.0917
Au: 0.9870 0.7401 0.1463
Au: 0.3004 0.9821 0.1973
Au: 0.7617 0.0735 0.2040
Au: 0.0766 0.3065 0.2524
Au: 0.4077 0.5616 0.3117
Au: 0.7411 0.8063 0.3547
Au: 0.1830 0.8833 0.3803
Au: 0.0694 0.0408 0.4161
Au: 0.5057 0.1301 0.4260
Au: 0.8310 0.3741 0.4718
Au: 0.1566 0.6202 0.5210
Au: 0.4969 0.8713 0.5718
Au: 0.8235 0.1173 0.6205
Au: 0.1438 0.3551 0.6698
Au: 0.5845 0.4416 0.6825
Au: 0.9144 0.6912 0.7346
Au: 0.2421 0.9351 0.7840
Au: 0.5694 0.1792 0.8313
Au: 0.9000 0.4248 0.8845
Au: 0.2236 0.6735 0.9281
Au: 0.6710 0.7570 0.9492
Te: 0.5825 0.9242 0.0004
Te: 0.7568 0.3299 0.0373
Te: 0.0822 0.5788 0.0850
Te: 0.2276 0.4072 0.1117
Te: 0.5680 0.6629 0.1358
Te: 0.4087 0.8373 0.1626
Te: 0.8886 0.8993 0.2025
Te: 0.1742 0.1122 0.2281
Te: 0.5115 0.3893 0.2502
Te: 0.6358 0.2348 0.2721
Te: 0.8509 0.6353 0.2946
Te: 0.9729 0.4820 0.3096
Te: 0.3035 0.7396 0.3672
Te: 0.6423 0.9972 0.3954
Te: 0.9415 0.2197 0.4114
Te: 0.4033 0.2876 0.4716
Te: 0.2567 0.4581 0.4798
Te: 0.5924 0.7124 0.5083
Te: 0.7328 0.5351 0.5343
Te: 0.9188 0.9556 0.5663
Te: 0.0640 0.7868 0.5808
Te: 0.4046 0.0334 0.6039
Te: 0.2389 0.1962 0.6347
Te: 0.7231 0.2763 0.6752
Te: 0.0171 0.4912 0.6946
Te: 0.4698 0.6055 0.7194
Te: 0.3298 0.7586 0.7420
Te: 0.6830 0.0124 0.7879
Te: 0.8190 0.8703 0.8130
Te: 0.9969 0.2415 0.8493
Te: 0.1364 0.0965 0.8548
Te: 0.4834 0.3570 0.8656
Te: 0.7694 0.5955 0.8916
Te: 0.3260 0.5169 0.8929
Te: 0.0951 0.8097 0.9555
Te: 0.4188 0.0836 0.9877

The calculation puts the total DFT energy (no corrections) at -194.478 eV/cell. Its volume is 26.48 A^3/atom.

=====

Entry 3:
## TeAu17 (PBE-GGA)

Data for a relaxed structure of TeAu17.

a b c (Å): 5.0157 5.7521 27.1274
angles (deg): 90.00 91.24 90.00
Fractional coordinates of all 36 atoms:
Au: 0.1501 0.2495 0.1389
Au: 0.1501 0.7505 0.1389
Au: 0.6342 0.0000 0.1394
Au: 0.4966 0.2521 0.2283
Au: 0.4966 0.7479 0.2283
Au: 0.9937 0.5000 0.2301
Au: 0.9974 0.0000 0.2301
Au: 0.3390 0.5000 0.3189
Au: 0.8367 0.2492 0.3194
Au: 0.8367 0.7508 0.3194
Au: 0.3370 0.0000 0.3208
Au: 0.6727 0.5000 0.4093
Au: 0.1727 0.2515 0.4098
Au: 0.1727 0.7485 0.4098
Au: 0.6736 0.0000 0.4101
Au: 0.0015 0.0000 0.4997
Au: 0.5000 0.2500 0.5000
Au: 0.5000 0.7500 0.5000
Au: 0.9985 0.5000 0.5003
Au: 0.3263 0.5000 0.5899
Au: 0.8272 0.2485 0.5902
Au: 0.8272 0.7515 0.5902
Au: 0.3272 0.0000 0.5907
Au: 0.6631 0.5000 0.6792
Au: 0.1634 0.2508 0.6806
Au: 0.1634 0.7492 0.6806
Au: 0.6612 0.0000 0.6811
Au: 0.0027 0.5000 0.7698
Au: 0.0064 0.0000 0.7699
Au: 0.5035 0.2479 0.7717
Au: 0.5035 0.7521 0.7717
Au: 0.3659 0.5000 0.8606
Au: 0.8499 0.2505 0.8611
Au: 0.8499 0.7495 0.8611
Te: 0.7257 0.5000 0.1006
Te: 0.2736 0.0000 0.8995

The calculation puts the total DFT energy (no corrections) at -115.404 eV/cell. The polymorph energy (0 for the lowest one) comes out at 0.000 eV per atom. Its volume is 21.74 A^3/atom.

=====

Entry 4:
## TeAu7 (PBE-GGA)

Data for a relaxed structure of TeAu7.

a b c (Å): 2.9579 3.9373 32.7380
angles (deg): 90.00 90.00 90.00
Fractional coordinates of all 16 atoms:
Au: 0.0000 0.0000 0.0234
Au: 0.5000 0.5000 0.0700
Au: 0.0000 0.0000 0.1168
Au: 0.5000 0.5000 0.1632
Au: 0.0000 0.0000 0.2106
Au: 0.5000 0.5000 0.2571
Au: 0.0000 0.0000 0.3058
Au: 0.5000 0.5000 0.6942
Au: 0.0000 0.0000 0.7429
Au: 0.5000 0.5000 0.7894
Au: 0.0000 0.0000 0.8368
Au: 0.5000 0.5000 0.8832
Au: 0.0000 0.0000 0.9300
Au: 0.5000 0.5000 0.9766
Te: 0.5000 0.5000 0.3616
Te: 0.0000 0.0000 0.6384

The calculation puts the total DFT energy (no corrections) at -50.981 eV/cell. The polymorph energy (0 for the lowest one) comes out at 0.000 eV per atom. Its volume is 23.83 A^3/atom.

=====

Entry 5:
## TeAu15 (PBE-GGA)

Data for a relaxed structure of TeAu15.

a b c (Å): 4.9195 32.7788 4.9333
angles (deg): 90.00 108.21 90.00
Fractional coordinates of all 32 atoms:
Au: 0.5000 0.1928 0.0000
Au: 0.0000 0.2412 0.0000
Au: 0.5000 0.2885 0.0000
Au: 0.0000 0.3358 0.0000
Au: 0.5000 0.3827 0.0000
Au: 0.0000 0.4299 0.0000
Au: 0.5000 0.4765 0.0000
Au: 0.0000 0.5236 0.0000
Au: 0.5000 0.5701 0.0000
Au: 0.0000 0.6174 0.0000
Au: 0.5000 0.6640 0.0000
Au: 0.0000 0.7116 0.0000
Au: 0.5000 0.7582 0.0000
Au: 0.0000 0.8072 0.0000
Au: 0.5000 0.8537 0.0000
Au: 0.5000 0.1462 0.5000
Au: 0.0000 0.1927 0.5000
Au: 0.5000 0.2417 0.5000
Au: 0.0000 0.2884 0.5000
Au: 0.5000 0.3361 0.5000
Au: 0.0000 0.3826 0.5000
Au: 0.5000 0.4299 0.5000
Au: 0.0000 0.4764 0.5000
Au: 0.5000 0.5236 0.5000
Au: 0.0000 0.5702 0.5000
Au: 0.5000 0.6173 0.5000
Au: 0.0000 0.6642 0.5000
Au: 0.5000 0.7115 0.5000
Au: 0.0000 0.7587 0.5000
Au: 0.5000 0.8071 0.5000
Te: 0.0000 0.1389 0.0000
Te: 0.0000 0.8611 0.5000

The calculation puts the total DFT energy (no corrections) at -102.467 eV/cell. The polymorph energy (0 for the lowest one) comes out at 0.029 eV per atom. Its volume is 23.61 A^3/atom.

=====

Entry 6:
## TeAu10 (PBE-GGA)

Data for a relaxed structure of TeAu10.

a b c (Å): 4.9240 4.9240 32.8152
angles (deg): 90.28 90.28 48.60
Fractional coordinates of all 22 atoms:
Au: 0.8715 0.8715 0.2063
Au: 0.5450 0.5450 0.2464
Au: 0.2441 0.2441 0.2757
Au: 0.9438 0.9438 0.3054
Au: 0.6446 0.6446 0.3360
Au: 0.3452 0.3452 0.3652
Au: 0.0464 0.0464 0.3958
Au: 0.7471 0.7471 0.4252
Au: 0.4481 0.4481 0.4551
Au: 0.1497 0.1497 0.4854
Au: 0.8503 0.8503 0.5146
Au: 0.5519 0.5519 0.5449
Au: 0.2529 0.2529 0.5748
Au: 0.9536 0.9536 0.6042
Au: 0.6548 0.6548 0.6348
Au: 0.3554 0.3554 0.6640
Au: 0.0562 0.0562 0.6946
Au: 0.7559 0.7559 0.7243
Au: 0.4550 0.4550 0.7536
Au: 0.1285 0.1285 0.7937
Te: 0.1741 0.1741 0.1845
Te: 0.8259 0.8259 0.8155

The calculation puts the total DFT energy (no corrections) at -70.819 eV/cell. Its volume is 27.13 A^3/atom.

=====

Entry 7:
## TeAu15 (PBE-GGA)

Data for a relaxed structure of TeAu15.

a b c (Å): 8.0857 2.9239 34.7390
angles (deg): 90.00 90.17 90.00
Fractional coordinates of all 32 atoms:
Au: 0.3759 0.5000 0.1774
Au: 0.1171 0.0000 0.2151
Au: 0.6337 0.0000 0.2152
Au: 0.3752 0.5000 0.2611
Au: 0.8755 0.5000 0.2621
Au: 0.6240 0.0000 0.3042
Au: 0.1267 0.0000 0.3043
Au: 0.3752 0.5000 0.3484
Au: 0.8750 0.5000 0.3485
Au: 0.1252 0.0000 0.3916
Au: 0.6251 0.0000 0.3916
Au: 0.3748 0.5000 0.4352
Au: 0.8753 0.5000 0.4352
Au: 0.6253 0.0000 0.4782
Au: 0.1248 0.0000 0.4783
Au: 0.8752 0.5000 0.5217
Au: 0.3747 0.5000 0.5218
Au: 0.1247 0.0000 0.5648
Au: 0.6252 0.0000 0.5648
Au: 0.8748 0.5000 0.6084
Au: 0.3749 0.5000 0.6084
Au: 0.1250 0.0000 0.6515
Au: 0.6248 0.0000 0.6516
Au: 0.8733 0.5000 0.6957
Au: 0.3760 0.5000 0.6958
Au: 0.1245 0.0000 0.7379
Au: 0.6248 0.0000 0.7389
Au: 0.3663 0.5000 0.7848
Au: 0.8829 0.5000 0.7849
Au: 0.6241 0.0000 0.8226
Te: 0.8755 0.5000 0.1649
Te: 0.1245 0.0000 0.8352

The calculation puts the total DFT energy (no corrections) at -102.107 eV/cell. The polymorph energy (0 for the lowest one) comes out at 0.041 eV per atom. Its volume is 25.67 A^3/atom.

=====

Entry 8:
## TeAu7 (PBE-GGA)

Data for a relaxed structure of TeAu7.

a b c (Å): 2.9334 2.9334 43.8718
angles (deg): 90.00 90.00 90.00
Fractional coordinates of all 16 atoms:
Au: 0.9998 0.5000 0.1936
Au: 0.4998 0.0000 0.2411
Au: 0.0000 0.5000 0.2886
Au: 0.5000 0.0000 0.3358
Au: 0.0000 0.5000 0.3827
Au: 0.5000 0.0000 0.4295
Au: 0.0000 0.5000 0.4765
Au: 0.5000 0.0000 0.5236
Au: 0.0000 0.5000 0.5706
Au: 0.5000 0.0000 0.6174
Au: 0.0000 0.5000 0.6642
Au: 0.5000 0.0000 0.7114
Au: 0.0002 0.5000 0.7588
Au: 0.5002 0.0000 0.8063
Te: 0.5003 0.0000 0.1291
Te: 0.9998 0.5000 0.8710

The calculation puts the total DFT energy (no corrections) at -50.917 eV/cell. The polymorph energy (0 for the lowest one) comes out at 0.004 eV per atom. Its volume is 23.59 A^3/atom.

=====

Entry 9:
## Te2Au7 (PBE-GGA)

Data for a relaxed structure of Te2Au7.

a b c (Å): 3.0221 3.0221 30.0176
angles (deg): 90.00 90.00 120.00
Fractional coordinates of all 9 atoms:
Au: 0.6667 0.3333 0.2675
Au: 0.3333 0.6667 0.3451
Au: 0.0000 0.0000 0.4226
Au: 0.6667 0.3333 0.5000
Au: 0.3333 0.6667 0.5774
Au: 0.0000 0.0000 0.6549
Au: 0.6667 0.3333 0.7325
Te: 0.0000 0.0000 0.1747
Te: 0.3333 0.6667 0.8253

The calculation puts the total DFT energy (no corrections) at -27.618 eV/cell. Its volume is 26.38 A^3/atom.

=====

Entry 10:
## TeAu (PBE-GGA)

Data for a relaxed structure of TeAu.

a b c (Å): 3.2067 3.2066 5.1684
angles (deg): 90.00 90.00 120.00
Fractional coordinates of all 2 atoms:
Au: 0.6667 0.3333 0.7500
Te: 0.3333 0.6667 0.2500

The calculation puts the total DFT energy (no corrections) at -5.672 eV/cell. Its volume is 23.01 A^3/atom.

=====

Entry 11:
## TeAu15 (PBE-GGA)

Data for a relaxed structure of TeAu15.

a b c (Å): 5.7527 4.0845 34.5520
angles (deg): 90.00 90.01 90.00
Fractional coordinates of all 32 atoms:
Au: 0.6352 0.0000 0.1709
Au: 0.3683 0.5000 0.2104
Au: 0.8761 0.5000 0.2133
Au: 0.6200 0.0000 0.2572
Au: 0.1232 0.0000 0.2587
Au: 0.3743 0.5000 0.3015
Au: 0.8718 0.5000 0.3017
Au: 0.1240 0.0000 0.3461
Au: 0.6240 0.0000 0.3464
Au: 0.3750 0.5000 0.3901
Au: 0.8745 0.5000 0.3902
Au: 0.1255 0.0000 0.4342
Au: 0.6252 0.0000 0.4345
Au: 0.3750 0.5000 0.4779
Au: 0.8754 0.5000 0.4780
Au: 0.1247 0.0000 0.5220
Au: 0.6251 0.0000 0.5221
Au: 0.3748 0.5000 0.5655
Au: 0.8746 0.5000 0.5658
Au: 0.1255 0.0000 0.6098
Au: 0.6250 0.0000 0.6099
Au: 0.3760 0.5000 0.6536
Au: 0.8760 0.5000 0.6539
Au: 0.1282 0.0000 0.6983
Au: 0.6257 0.0000 0.6985
Au: 0.8768 0.5000 0.7413
Au: 0.3800 0.5000 0.7428
Au: 0.1239 0.0000 0.7867
Au: 0.6317 0.0000 0.7896
Au: 0.3646 0.5000 0.8291
Te: 0.1319 0.0000 0.1612
Te: 0.8679 0.5000 0.8388

The calculation puts the total DFT energy (no corrections) at -102.381 eV/cell. The polymorph energy (0 for the lowest one) comes out at 0.032 eV per atom. Its volume is 25.37 A^3/atom.